w:
DFT (GGA-PBE) results for crystalline Sr2CaPd2 at its relaxed geometry.

a b c (Å): 4.3153 6.8905 9.9721
angles (deg): 90.00 90.00 90.00
Last column: nearest neighbours and their distance in Å.
Space group Immm (No. 71)
Symmetry-distinct sites (fractional):
Sr (0.0000, 0.0000, 0.1928) (multiplicity 4)  4 Pd 3.22
Ca (0.0000, 0.5000, 0.0000) (multiplicity 2)  4 Pd 2.96
Pd (0.0000, 0.2945, 0.5000) (multiplicity 4)  1 Pd 2.83, 2 Ca 2.96

M_tot: 0.0 μB per formula unit

=====

x:
DFT (GGA-PBE) results for crystalline Sr2CaPd2 at its relaxed geometry.

a b c (Å): 5.4545 5.4545 11.1757
angles (deg): 90.00 90.00 90.00
Last column: nearest neighbours and their distance in Å.
Space group I4/mmm (No. 139)
Symmetry-distinct sites (fractional):
Sr (0.0000, 0.0000, 0.1592) (multiplicity 4)  4 Pd 2.91
Ca (0.0000, 0.0000, 0.5000) (multiplicity 2)  10 Sr 3.81-4.25, 8 Pd 3.90
Pd (0.0000, 0.5000, 0.2500) (multiplicity 4)  4 Sr 2.91

M_tot: 0.0 μB per formula unit

=====

y:
DFT (GGA-PBE) results for crystalline Sr2CaPd2 at its relaxed geometry.

a b c (Å): 8.8531 8.8531 3.5930
angles (deg): 90.00 90.00 90.00
Last column: nearest neighbours and their distance in Å.
Space group P4/mbm (No. 127)
Symmetry-distinct sites (fractional):
Sr (0.1368, 0.3632, 0.0000) (multiplicity 4)  6 Pd 3.06-3.23, 1 Sr 3.42
Ca (0.0000, 0.0000, 0.0000) (multiplicity 2)  4 Sr 3.44, 2 Ca 3.59, 8 Pd 3.76
Pd (0.1651, 0.6651, 0.5000) (multiplicity 4)  6 Sr 3.06-3.23

M_tot: 0.0 μB per formula unit

=====

z:
DFT (GGA-PBE) results for crystalline Sr2CaPd2 at its relaxed geometry.

a b c (Å): 4.8867 4.8867 12.9111
angles (deg): 90.00 90.00 90.00
Last column: nearest neighbours and their distance in Å.
Space group I4/mmm (No. 139)
Symmetry-distinct sites (fractional):
Sr (0.0000, 0.5000, 0.2500) (multiplicity 4)  4 Pd 3.10, 4 Sr 3.46
Ca (0.0000, 0.0000, 0.0000) (multiplicity 2)  8 Pd 3.70, 8 Sr 4.05
Pd (0.0000, 0.0000, 0.3983) (multiplicity 4)  1 Pd 2.63

M_tot: 0.0 μB per formula unit

=====

w takes first place; second place is 0.217 eV/atom up.

=====

w:
DFT (GGA-PBE) results for crystalline SrCa4Pd at its relaxed geometry.

a b c (Å): 10.4011 7.1986 6.6816
angles (deg): 90.00 99.98 90.00
Last column: nearest neighbours and their distance in Å.
Space group P2_1/c (No. 14)
Symmetry-distinct sites (fractional):
Sr (0.0000, 0.0000, 0.0000) (multiplicity 2)  6 Ca 3.82-4.25
Ca (0.2496, 0.1066, 0.5726) (multiplicity 4)  1 Pd 2.84
Ca (0.3916, 0.6386, 0.6154) (multiplicity 4)  2 Pd 2.80-2.99
Pd (0.5000, 0.0000, 0.5000) (multiplicity 2)  6 Ca 2.80-2.99

M_tot: 0.0 μB per formula unit

=====

x:
DFT (GGA-PBE) results for crystalline SrCa4Pd at its relaxed geometry.

a b c (Å): 18.5981 7.9774 6.6068
angles (deg): 90.00 110.58 90.00
Last column: nearest neighbours and their distance in Å.
Space group C2/m (No. 12)
Symmetry-distinct sites (fractional):
Sr (0.2014, 0.0000, 0.2003) (multiplicity 4)  12 Ca 3.90-4.20
Ca (0.0000, 0.2265, 0.0000) (multiplicity 4)  2 Pd 2.88
Ca (0.1058, 0.2501, 0.6058) (multiplicity 8)  2 Pd 3.05-3.07
Ca (0.1613, 0.5000, 0.1623) (multiplicity 4)  2 Pd 3.36-3.41, 2 Ca 3.56
Pd (0.0012, 0.5000, 0.2868) (multiplicity 4)  1 Pd 2.83, 6 Ca 2.88-3.07

M_tot: 0.0 μB per formula unit

=====

x takes first place; second place is 0.069 eV/atom up.

=====

w:
DFT (GGA-PBE) results for crystalline SrCa2Pd2 at its relaxed geometry.

a b c (Å): 5.2527 5.2527 11.0139
angles (deg): 90.00 90.00 90.00
Last column: nearest neighbours and their distance in Å.
Space group I4/mmm (No. 139)
Symmetry-distinct sites (fractional):
Sr (0.0000, 0.0000, 0.0000) (multiplicity 2)  10 Ca 3.74-4.11, 8 Pd 3.81
Ca (0.0000, 0.0000, 0.3397) (multiplicity 4)  4 Pd 2.81
Pd (0.0000, 0.5000, 0.2500) (multiplicity 4)  4 Ca 2.81

M_tot: 0.0 μB per formula unit

=====

x:
DFT (GGA-PBE) results for crystalline SrCa2Pd2 at its relaxed geometry.

a b c (Å): 8.6164 8.6164 3.4982
angles (deg): 90.00 90.00 90.00
Last column: nearest neighbours and their distance in Å.
Space group P4/mbm (No. 127)
Symmetry-distinct sites (fractional):
Sr (0.0000, 0.0000, 0.0000) (multiplicity 2)  4 Ca 3.37, 2 Sr 3.50, 8 Pd 3.66
Ca (0.1320, 0.3680, 0.0000) (multiplicity 4)  6 Pd 3.02-3.12, 1 Ca 3.22, 2 Sr 3.37
Pd (0.1658, 0.6658, 0.5000) (multiplicity 4)  6 Ca 3.02-3.12

M_tot: 0.0 μB per formula unit

=====

x takes first place; second place is 0.053 eV/atom up.

=====

w:
DFT (GGA-PBE) results for crystalline SrCa2YPd at its relaxed geometry.

a b c (Å): 5.6422 5.6422 5.8552
angles (deg): 90.00 90.00 90.00
Last column: nearest neighbours and their distance in Å.
Space group P4/mmm (No. 123)
Symmetry-distinct sites (fractional):
Sr (0.0000, 0.0000, 0.0000) (multiplicity 1)  2 Pd 2.93
Ca (0.0000, 0.5000, 0.5000) (multiplicity 2)  2 Pd 2.82
Y (0.5000, 0.5000, 0.0000) (multiplicity 1)  4 Sr 3.99, 8 Ca 4.07
Pd (0.0000, 0.0000, 0.5000) (multiplicity 1)  4 Ca 2.82, 2 Sr 2.93

M_tot: 0.0 μB per formula unit

=====

x:
DFT (GGA-PBE) results for crystalline SrCa2YPd at its relaxed geometry.

a b c (Å): 5.7600 5.7600 5.5386
angles (deg): 90.00 90.00 90.00
Last column: nearest neighbours and their distance in Å.
Space group P4/mmm (No. 123)
Symmetry-distinct sites (fractional):
Sr (0.0000, 0.0000, 0.0000) (multiplicity 1)  8 Ca 4.00, 4 Y 4.07
Ca (0.0000, 0.5000, 0.5000) (multiplicity 2)  2 Pd 2.88
Y (0.5000, 0.5000, 0.0000) (multiplicity 1)  2 Pd 2.77
Pd (0.5000, 0.5000, 0.5000) (multiplicity 1)  2 Y 2.77, 4 Ca 2.88

M_tot: 0.0 μB per formula unit

=====

x takes first place; second place is 0.192 eV/atom up.

=====

w:
DFT (GGA-PBE) results for crystalline SrCaZnPd at its relaxed geometry.

a b c (Å): 7.4192 7.4192 7.4192
angles (deg): 90.00 90.00 90.00
Last column: nearest neighbours and their distance in Å.
Space group F-43m (No. 216)
Symmetry-distinct sites (fractional):
Sr (0.0000, 0.0000, 0.0000) (multiplicity 4)  4 Pd 3.21, 4 Zn 3.21
Ca (0.0000, 0.0000, 0.5000) (multiplicity 4)  4 Pd 3.21, 4 Zn 3.21
Zn (0.2500, 0.2500, 0.7500) (multiplicity 4)  4 Ca 3.21, 4 Sr 3.21
Pd (0.2500, 0.2500, 0.2500) (multiplicity 4)  4 Ca 3.21, 4 Sr 3.21

M_tot: 0.0 μB per formula unit

=====

x:
DFT (GGA-PBE) results for crystalline SrCaZnPd at its relaxed geometry.

a b c (Å): 7.6446 4.4117 7.8404
angles (deg): 90.00 108.79 90.00
Last column: nearest neighbours and their distance in Å.
Space group Cm (No. 8)
Symmetry-distinct sites (fractional):
Sr (0.0000, 0.0000, 0.0000) (multiplicity 2)  3 Pd 3.30, 3 Zn 3.30-3.31
Ca (0.3257, 0.5000, 0.4732) (multiplicity 2)  3 Zn 3.12, 3 Pd 3.13
Zn (0.2394, 0.0000, 0.7162) (multiplicity 2)  3 Pd 2.55
Pd (0.0733, 0.5000, 0.7181) (multiplicity 2)  3 Zn 2.55

M_tot: 0.0 μB per formula unit

=====

x takes first place; second place is 0.088 eV/atom up.

=====

w:
DFT (GGA-PBE) results for crystalline CaTa2Pd at its relaxed geometry.

a b c (Å): 3.8837 3.8837 22.0703
angles (deg): 90.00 90.00 90.00
Last column: nearest neighbours and their distance in Å.
Space group I-42d (No. 122)
Symmetry-distinct sites (fractional):
Ca (0.0000, 0.0000, 0.0000) (multiplicity 4)  4 Pd 2.75
Ta (0.2389, 0.2500, 0.6250) (multiplicity 8)  4 Ta 2.69-2.81
Pd (0.0000, 0.0000, 0.5000) (multiplicity 4)  4 Ca 2.75, 4 Ta 3.07

M_tot: 0.0 μB per formula unit

=====

x:
DFT (GGA-PBE) results for crystalline CaTa2Pd at its relaxed geometry.

a b c (Å): 6.6852 6.6852 6.6852
angles (deg): 90.00 90.00 90.00
Last column: nearest neighbours and their distance in Å.
Space group Fm-3m (No. 225)
Symmetry-distinct sites (fractional):
Ca (0.0000, 0.0000, 0.0000) (multiplicity 4)  8 Ta 2.89
Ta (0.2500, 0.2500, 0.2500) (multiplicity 8)  4 Ca 2.89, 4 Pd 2.89
Pd (0.0000, 0.0000, 0.5000) (multiplicity 4)  8 Ta 2.89

M_tot: 0.0 μB per formula unit

=====

w takes first place; second place is 0.184 eV/atom up.

=====

w:
DFT (GGA-PBE) results for crystalline CaTaPd2 at its relaxed geometry.

a b c (Å): 6.6799 6.6799 6.6799
angles (deg): 90.00 90.00 90.00
Last column: nearest neighbours and their distance in Å.
Space group Fm-3m (No. 225)
Symmetry-distinct sites (fractional):
Ca (0.0000, 0.0000, 0.0000) (multiplicity 4)  8 Pd 2.89
Ta (0.0000, 0.0000, 0.5000) (multiplicity 4)  8 Pd 2.89
Pd (0.2500, 0.2500, 0.2500) (multiplicity 8)  4 Ta 2.89, 4 Ca 2.89

M_tot: 0.0 μB per formula unit

=====

x:
DFT (GGA-PBE) results for crystalline CaTaPd2 at its relaxed geometry.

a b c (Å): 3.3172 3.3172 7.1866
angles (deg): 90.00 90.00 90.00
Last column: nearest neighbours and their distance in Å.
Space group P4/mmm (No. 123)
Symmetry-distinct sites (fractional):
Ca (0.0000, 0.0000, 0.0000) (multiplicity 1)  8 Pd 3.20, 4 Ca 3.32
Ta (0.0000, 0.0000, 0.5000) (multiplicity 1)  8 Pd 2.74
Pd (0.5000, 0.5000, 0.3020) (multiplicity 2)  4 Ta 2.74, 1 Pd 2.85

M_tot: 0.0 μB per formula unit

=====

y:
DFT (GGA-PBE) results for crystalline CaTaPd2 at its relaxed geometry.

a b c (Å): 7.4676 7.4676 6.1389
angles (deg): 90.00 90.00 90.00
Last column: nearest neighbours and their distance in Å.
Space group I-42d (No. 122)
Symmetry-distinct sites (fractional):
Ca (0.0000, 0.0000, 0.0000) (multiplicity 4)  4 Pd 2.98, 2 Ta 3.07
Ta (0.0000, 0.0000, 0.5000) (multiplicity 4)  4 Pd 2.54
Pd (0.2064, 0.2500, 0.6250) (multiplicity 8)  2 Ta 2.54

M_tot: 1.0 μB per formula unit

=====

x takes first place; second place is 0.224 eV/atom up.

=====

w:
DFT (GGA-PBE) results for crystalline CaTbPd at its relaxed geometry.

a b c (Å): 6.9785 6.9785 6.9785
angles (deg): 90.00 90.00 90.00
Last column: nearest neighbours and their distance in Å.
Space group F-43m (No. 216)
Symmetry-distinct sites (fractional):
Ca (0.0000, 0.0000, 0.0000) (multiplicity 4)  4 Pd 3.02
Tb (0.0000, 0.0000, 0.5000) (multiplicity 4)  4 Pd 3.02
Pd (0.2500, 0.2500, 0.2500) (multiplicity 4)  4 Tb 3.02, 4 Ca 3.02

M_tot: 0.0 μB per formula unit

=====

x:
DFT (GGA-PBE) results for crystalline CaTbPd at its relaxed geometry.

a b c (Å): 7.2825 8.4848 5.9119
angles (deg): 90.00 100.84 90.00
Last column: nearest neighbours and their distance in Å.
Space group C2/m (No. 12)
Symmetry-distinct sites (fractional):
Ca (0.2325, 0.0000, 0.4363) (multiplicity 4)  2 Pd 2.94-3.02
Tb (0.0000, 0.2931, 0.0000) (multiplicity 4)  4 Pd 2.88-2.90
Pd (0.1803, 0.0000, 0.9178) (multiplicity 4)  4 Tb 2.88-2.90, 2 Ca 2.94-3.02, 1 Pd 2.97

M_tot: 0.0 μB per formula unit

=====

x takes first place; second place is 0.086 eV/atom up.

=====

w:
DFT (GGA-PBE) results for crystalline CaTb2Pd at its relaxed geometry.

a b c (Å): 4.0557 4.0557 28.1800
angles (deg): 90.00 90.00 120.00
Last column: nearest neighbours and their distance in Å.
Space group R-3m (No. 166, hexagonal axes)
Symmetry-distinct sites (fractional):
Ca (0.0000, 0.0000, 0.0000) (multiplicity 3)  6 Tb 3.92, 6 Ca 4.06
Tb (0.0000, 0.0000, 0.2219) (multiplicity 6)  3 Pd 2.81
Pd (0.0000, 0.0000, 0.5000) (multiplicity 3)  6 Tb 2.81

M_tot: 0.0 μB per formula unit

=====

x:
DFT (GGA-PBE) results for crystalline CaTb2Pd at its relaxed geometry.

a b c (Å): 3.9922 12.2944 9.3852
angles (deg): 90.00 90.00 90.00
Last column: nearest neighbours and their distance in Å.
Space group Cmcm (No. 63)
Symmetry-distinct sites (fractional):
Ca (0.0000, 0.0653, 0.2500) (multiplicity 4)  2 Pd 3.19
Tb (0.0000, 0.3570, 0.0600) (multiplicity 8)  2 Pd 2.89
Pd (0.0000, 0.2326, 0.7500) (multiplicity 4)  4 Tb 2.89, 2 Ca 3.19

M_tot: 0.0 μB per formula unit

=====

x takes first place; second place is 0.105 eV/atom up.

=====

w:
DFT (GGA-PBE) results for crystalline CaTb2Pd at its relaxed geometry.

a b c (Å): 3.5487 3.5487 9.4144
angles (deg): 90.00 90.00 90.00
Last column: nearest neighbours and their distance in Å.
Space group P4/mmm (No. 123)
Symmetry-distinct sites (fractional):
Ca (0.0000, 0.0000, 0.0000) (multiplicity 1)  4 Ca 3.55, 8 Tb 3.93
Tb (0.5000, 0.5000, 0.3213) (multiplicity 2)  4 Pd 3.02, 1 Tb 3.36
Pd (0.0000, 0.0000, 0.5000) (multiplicity 1)  8 Tb 3.02

M_tot: 0.0 μB per formula unit

=====

x:
DFT (GGA-PBE) results for crystalline CaTb2Pd at its relaxed geometry.

a b c (Å): 4.0976 4.0976 27.5776
angles (deg): 90.00 90.00 120.00
Last column: nearest neighbours and their distance in Å.
Space group R3m (No. 160, hexagonal axes)
Symmetry-distinct sites (fractional):
Ca (0.0000, 0.0000, 0.0000) (multiplicity 3)  6 Tb 3.85-3.91, 6 Ca 4.10
Tb (0.0000, 0.0000, 0.5537) (multiplicity 3)  3 Pd 2.82
Tb (0.0000, 0.0000, 0.7769) (multiplicity 3)  3 Pd 2.81
Pd (0.0000, 0.0000, 0.1650) (multiplicity 3)  6 Tb 2.81-2.82

M_tot: 0.0 μB per formula unit

=====

w takes first place; second place is 0.060 eV/atom up.

=====

w:
DFT (GGA-PBE) results for crystalline CaTe3Pd at its relaxed geometry.

a b c (Å): 5.7547 5.7547 5.7547
angles (deg): 90.00 90.00 90.00
Last column: nearest neighbours and their distance in Å.
Space group Pm-3m (No. 221)
Symmetry-distinct sites (fractional):
Ca (0.0000, 0.0000, 0.0000) (multiplicity 1)  6 Te 2.88
Te (0.0000, 0.0000, 0.5000) (multiplicity 3)  2 Ca 2.88
Pd (0.5000, 0.5000, 0.5000) (multiplicity 1)  12 Te 4.07

M_tot: 0.0 μB per formula unit

=====

x:
DFT (GGA-PBE) results for crystalline CaTe3Pd at its relaxed geometry.

a b c (Å): 5.3607 5.3607 5.3607
angles (deg): 90.00 90.00 90.00
Last column: nearest neighbours and their distance in Å.
Space group Pm-3m (No. 221)
Symmetry-distinct sites (fractional):
Ca (0.0000, 0.0000, 0.0000) (multiplicity 1)  12 Te 3.79
Te (0.0000, 0.5000, 0.5000) (multiplicity 3)  2 Pd 2.68
Pd (0.5000, 0.5000, 0.5000) (multiplicity 1)  6 Te 2.68

M_tot: 0.0 μB per formula unit

=====

x takes first place; second place is 0.861 eV/atom up.